Run one
This record from Alexandria via LeMat-Bulk describes crystalline ZnSbPH at its relaxed geometry. The functional is PBE.

## Properties
Magnetic moment in Bohr magnetons per cell: 0.0
Crystal system: monoclinic
Space group: Cm
V in Å³ per atom: 19.34
N(E_F) in states/eV/atom: 0.157

Cell: 10.7762 3.6255 3.9605 Å, 90.00 90.08 90.00°
Positions (direct):
Zn1 0.0000 0.0000 0.0000
Zn2 0.5000 0.5000 0.0000
Sb1 0.2917 0.5000 0.5001
Sb2 0.7917 0.0000 0.5001
P1 0.1329 0.0000 0.5005
P2 0.6329 0.5000 0.5005
H1 0.4747 0.0000 0.9995
H2 0.9747 0.5000 0.9995

=====

Run two
This record from Alexandria via LeMat-Bulk describes crystalline ZnSbPH at its relaxed geometry. The functional is PBE.

## Properties
Magnetic moment in Bohr magnetons per cell: 0.0
Crystal system: triclinic
Space group: P1
V in Å³ per atom: 19.14
N(E_F) in states/eV/atom: 0.253

Cell: 4.0951 4.4546 4.6726 Å, 91.32 115.98 91.15°
Positions (direct):
Zn1 0.0000 0.0000 0.0000
Sb1 0.3861 0.4531 0.4345
P1 0.4871 0.7224 0.9812
H1 0.8137 0.2590 0.6552

=====

Of them, the most stable is run one and the least stable is run two.

=====

Run one
This record from Alexandria via LeMat-Bulk describes crystalline ZnSbPH at its relaxed geometry. The functional is PBE.

## Properties
Magnetic moment in Bohr magnetons per cell: 0.0
Crystal system: monoclinic
Space group: Cm
V in Å³ per atom: 20.54
N(E_F) in states/eV/atom: 0.226

Cell: 8.4470 3.7369 5.7132 Å, 90.00 114.33 90.00°
Positions (direct):
Zn1 0.0000 0.0000 0.0000
Zn2 0.5000 0.5000 0.0000
Sb1 0.3427 0.0000 0.2523
Sb2 0.8427 0.5000 0.2523
P1 0.3825 0.0000 0.7181
P2 0.8825 0.5000 0.7181
H1 0.2016 0.0000 0.6656
H2 0.7016 0.5000 0.6656

=====

Run two
This record from Alexandria via LeMat-Bulk describes crystalline ZnSbPH at its relaxed geometry. The functional is PBE.

## Properties
Magnetic moment in Bohr magnetons per cell: 0.0
Crystal system: monoclinic
Space group: Cm
V in Å³ per atom: 19.76
N(E_F) in states/eV/atom: 0.189

Cell: 7.4884 3.7238 5.9059 Å, 90.00 106.25 90.00°
Positions (direct):
Zn1 0.0000 0.0000 0.0000
Zn2 0.5000 0.5000 0.0000
Sb1 0.3323 0.0000 0.5125
Sb2 0.8323 0.5000 0.5125
P1 0.2998 0.0000 0.9297
P2 0.7998 0.5000 0.9297
H1 0.0895 0.0000 0.3503
H2 0.5895 0.5000 0.3503

=====

Run three
This record from Alexandria via LeMat-Bulk describes crystalline ZnSbPH at its relaxed geometry. The functional is PBE.

## Properties
Magnetic moment in Bohr magnetons per cell: 0.0
Crystal system: triclinic
Space group: P1
V in Å³ per atom: 19.19
N(E_F) in states/eV/atom: 0.183

Cell: 3.5735 4.5846 5.4568 Å, 111.15 90.37 111.19°
Positions (direct):
Zn1 0.0000 0.0000 0.0000
Sb1 0.2064 0.4252 0.7470
P1 0.5692 0.1260 0.3558
H1 0.4209 0.8089 0.3881

=====

Of them, the most stable is run one and the least stable is run two.